Entry 1:
DFT (GGA+U) results for a geometry-optimized Pm2TcMoO8 structure.

Properties
Magnetic moment, μB per formula unit: 0.970
Volume, A^3/atom: 13.3

Unit cell a=4.818 b=4.811 c=6.878 alpha=90.07 beta=90.10 gamma=92.27
Last column: magnetic moment on the atom in μB.
Element x y z (fractional)
O 0.268 0.269 0.046  0.00
O 0.280 0.281 0.456  -0.03
O 0.780 0.130 0.252  0.00
O 0.220 0.870 0.748  0.00
O 0.130 0.781 0.252  0.00
O 0.732 0.731 0.954  0.00
Pm 0.566 0.567 0.250  0.00
Mo 0.000 0.000 0.500  0.99
Pm 0.434 0.433 0.750  0.00
O 0.870 0.219 0.748  0.00
O 0.720 0.719 0.544  -0.03
Tc 0.000 0.000 0.000  0.00



Entry 2:
DFT (GGA+U) results for a geometry-optimized PmTi2MoO8 structure.

Properties
Magnetic moment, μB per formula unit: 1.000
Volume, A^3/atom: 13.4

Unit cell a=4.898 b=4.898 c=6.811 alpha=84.13 beta=84.13 gamma=81.63
Last column: magnetic moment on the atom in μB.
Element x y z (fractional)
O 0.785 0.222 0.223  0.01
Mo 0.000 0.000 0.000  0.97
O 0.743 0.743 0.052  -0.04
O 0.674 0.674 0.493  0.00
Ti 0.557 0.557 0.274  0.03
O 0.222 0.786 0.223  0.01
Ti 0.443 0.443 0.726  0.03
Pm 0.000 0.000 0.500  0.00
O 0.778 0.214 0.777  0.01
O 0.257 0.257 0.948  -0.04
O 0.326 0.326 0.507  0.00
O 0.215 0.778 0.777  0.01



Entry 3:
DFT (GGA+U) results for a geometry-optimized Pm2Tl2MoO6 structure.

Properties
Magnetic moment, μB per formula unit: 2.000
Volume, A^3/atom: 18.6

Unit cell a=6.005 b=6.005 c=6.784 alpha=98.10 beta=98.10 gamma=119.18
Last column: magnetic moment on the atom in μB.
Element x y z (fractional)
Tl 0.161 0.839 0.000  0.00
O 0.250 0.250 0.322  0.03
O 0.050 0.350 0.661  0.01
O 0.950 0.650 0.339  0.01
O 0.750 0.750 0.678  0.03
O 0.350 0.050 0.661  0.01
Pm 0.665 0.335 0.500  0.01
Mo 0.000 0.000 0.500  1.85
Tl 0.839 0.161 0.000  0.00
O 0.650 0.950 0.339  0.01
Pm 0.335 0.665 0.500  0.01



Entry 4:
DFT (GGA+U) results for a geometry-optimized PmTlMo2O8 structure.

Properties
Magnetic moment, μB per formula unit: 0.000
Volume, A^3/atom: 19.2

Unit cell a=5.752 b=5.752 c=8.711 alpha=70.72 beta=70.72 gamma=60.00
Element x y z (fractional)
O 0.412 0.752 0.830
O 0.820 0.820 0.540
O 0.588 0.248 0.170
Mo 0.253 0.253 0.242
O 0.248 0.994 0.170
O 0.994 0.588 0.170
O 0.006 0.412 0.830
O 0.180 0.180 0.460
O 0.752 0.006 0.830
Mo 0.747 0.747 0.758
Pm 0.000 0.000 0.000
Tl 0.500 0.500 0.500



Entry 5:
DFT (GGA+U) results for a geometry-optimized PmTlMoO5 structure.

Properties
Magnetic moment, μB per formula unit: 0.000
Volume, A^3/atom: 20.0

Unit cell a=6.641 b=6.641 c=8.451 alpha=105.75 beta=105.75 gamma=105.57
Element x y z (fractional)
Pm 0.000 0.000 0.000
O 0.293 0.867 0.624
Mo 0.313 0.687 0.750
O 0.133 0.707 0.876
Pm 0.000 0.000 0.500
Tl 0.298 0.702 0.250
Mo 0.687 0.313 0.250
Tl 0.702 0.298 0.750
O 0.777 0.599 0.396
O 0.707 0.133 0.376
O 0.223 0.401 0.604
O 0.599 0.777 0.896
O 0.401 0.223 0.104
O 0.923 0.077 0.750
O 0.867 0.293 0.124
O 0.077 0.923 0.250



Entry 6:
DFT (GGA+U) results for a geometry-optimized Pm2TlMoO6 structure.

Properties
Magnetic moment, μB per formula unit: 0.996
Volume, A^3/atom: 18.4

Unit cell a=6.012 b=5.535 c=5.535 alpha=90.00 beta=90.00 gamma=90.00
Last column: magnetic moment on the atom in μB.
Element x y z (fractional)
O 0.312 0.000 0.000  -0.04
Pm 0.960 0.500 0.000  0.02
Pm 0.960 0.000 0.500  0.02
Mo 0.616 0.000 0.000  0.98
O 0.758 0.227 0.227  0.00
Tl 0.485 0.500 0.500  0.00
O 0.758 0.227 0.773  0.00
O 0.758 0.773 0.227  0.00
O 0.758 0.773 0.773  0.00
O 0.083 0.500 0.500  -0.01



Entry 7:
DFT (GGA+U) results for a geometry-optimized Pm3Tl3MoO8 structure.

Properties
Magnetic moment, μB per formula unit: 2.000
Volume, A^3/atom: 18.8

Unit cell a=7.020 b=7.075 c=7.681 alpha=117.14 beta=90.00 gamma=119.74
Last column: magnetic moment on the atom in μB.
Element x y z (fractional)
Mo 0.000 0.000 0.500  1.86
Tl 0.000 0.000 0.000  0.00
O 0.210 0.421 0.668  0.03
O 0.244 0.041 0.336  0.01
Pm 0.500 0.500 0.500  0.01
O 0.756 0.959 0.664  0.01
O 0.798 0.041 0.336  0.01
Pm 0.000 0.500 0.500  0.01
O 0.202 0.959 0.664  0.01
Pm 0.500 0.000 0.500  0.00
O 0.790 0.579 0.332  0.03
Tl 0.000 0.500 0.000  0.00
O 0.723 0.446 0.674  0.00
Tl 0.500 0.500 0.000  0.00
O 0.277 0.554 0.326  0.00



Entry 8:
DFT (GGA+U) results for a geometry-optimized Pm2TmMoO6 structure.

Properties
Magnetic moment, μB per formula unit: 3.000
Volume, A^3/atom: 14.0

Unit cell a=5.680 b=5.962 c=8.244 alpha=90.00 beta=90.55 gamma=90.00
Last column: magnetic moment on the atom in μB.
Element x y z (fractional)
O 0.688 0.304 0.567  0.02
Pm 0.980 0.059 0.751  0.01
O 0.695 0.306 0.931  0.02
O 0.869 0.559 0.246  0.01
O 0.131 0.441 0.754  0.01
O 0.369 0.941 0.746  0.01
Mo 0.000 0.500 0.000  2.68
Pm 0.480 0.441 0.251  0.01
O 0.805 0.806 0.569  0.02
Pm 0.520 0.559 0.749  0.01
Pm 0.020 0.941 0.249  0.01
O 0.195 0.194 0.431  0.02
O 0.305 0.694 0.069  0.02
Tm 0.500 0.000 0.000  0.03
O 0.312 0.696 0.433  0.02
O 0.188 0.196 0.067  0.02
O 0.631 0.059 0.254  0.01
Tm 0.000 0.500 0.500  0.03
Mo 0.500 0.000 0.500  2.68
O 0.812 0.804 0.933  0.02



Calculated total energy values (in eV/cell) by entry order: -93.35, -99.34, -73.98, -84.35, -110.75, -69.90, -100.02, -162.27.